Entry 1:
The following is a DFT calculation (SCAN) of AlCuF5 at its PBEsol-relaxed geometry.

```
AlCuF5
1.0
-1.7746 3.0681 3.6496
1.7746 -3.0681 3.6496
1.7746 3.0681 -3.6496
Al Cu F
1 1 5
direct
0.0000 0.0000 0.0000 Al
0.5000 0.5000 0.0000 Cu
0.0000 0.5000 0.5000 F
0.2471 0.2471 0.0000 F
0.2960 0.0000 0.2960 F
0.7040 0.0000 0.7040 F
0.7529 0.7529 0.0000 F
```

* raw formation energy: -2.931 eV/atom
* spin magnetization: 1.0 μB per formula unit
* SG: No. 71



Entry 2:
The following is a DFT calculation (SCAN) of Al2CuF at its PBEsol-relaxed geometry.

```
Al2CuF
1.0
0.0000 3.0025 3.0025
3.0025 0.0000 3.0025
3.0025 3.0025 0.0000
Al Cu F
2 1 1
direct
0.2500 0.2500 0.2500 Al
0.7500 0.7500 0.7500 Al
0.0000 0.0000 0.0000 Cu
0.5000 0.5000 0.5000 F
```

* raw formation energy: -0.451 eV/atom
* DOS at the Fermi energy: 0.4208 states/eV/atom
* spin magnetization: 0.0 μB per formula unit
* SG: No. 225



Entry 3:
The following is a DFT calculation (SCAN) of K2AlCuF6 at its PBEsol-relaxed geometry.

```
K2AlCuF6
1.0
0.0000 4.0216 4.0216
4.0216 0.0000 4.0216
4.0216 4.0216 0.0000
K Al Cu F
2 1 1 6
direct
0.2500 0.2500 0.2500 K
0.7500 0.7500 0.7500 K
0.0000 0.0000 0.0000 Al
0.5000 0.5000 0.5000 Cu
0.2263 0.2263 0.7737 F
0.2263 0.7737 0.2263 F
0.2263 0.7737 0.7737 F
0.7737 0.2263 0.2263 F
0.7737 0.2263 0.7737 F
0.7737 0.7737 0.2263 F
```

* raw formation energy: -2.991 eV/atom
* spin magnetization: 0.1 μB per formula unit
* SG: No. 225



Entry 4:
The following is a DFT calculation (SCAN) of KAlCuF6 at its PBEsol-relaxed geometry.

```
KAlCuF6
1.0
6.6265 0.0000 0.0000
0.0000 7.0430 0.0000
0.0000 0.0000 9.7226
K Al Cu F
4 4 4 24
direct
0.0120 0.2500 0.1182 K
0.4880 0.7500 0.6182 K
0.5120 0.2500 0.3818 K
0.9880 0.7500 0.8818 K
0.0000 0.0000 0.5000 Al
0.0000 0.5000 0.5000 Al
0.5000 0.0000 0.0000 Al
0.5000 0.5000 0.0000 Al
0.1838 0.2500 0.7638 Cu
0.3162 0.7500 0.2638 Cu
0.6838 0.2500 0.7362 Cu
0.8162 0.7500 0.2362 Cu
0.0682 0.2500 0.4838 F
0.0767 0.7500 0.1607 F
0.1129 0.5079 0.6694 F
0.1129 0.9921 0.6694 F
0.2414 0.5577 0.4265 F
0.2414 0.9423 0.4265 F
0.2586 0.0577 0.9265 F
0.2586 0.4423 0.9265 F
0.3871 0.0079 0.1694 F
0.3871 0.4921 0.1694 F
0.4233 0.2500 0.6607 F
0.4318 0.7500 0.9838 F
0.5682 0.2500 0.0162 F
0.5767 0.7500 0.3393 F
0.6129 0.5079 0.8306 F
0.6129 0.9921 0.8306 F
0.7414 0.5577 0.0735 F
0.7414 0.9423 0.0735 F
0.7586 0.0577 0.5735 F
0.7586 0.4423 0.5735 F
0.8871 0.0079 0.3306 F
0.8871 0.4921 0.3306 F
0.9233 0.2500 0.8393 F
0.9318 0.7500 0.5162 F
```

* raw formation energy: -3.032 eV/atom
* spin magnetization: 1.0 μB per formula unit
* SG: No. 62